Entry 1:
Crystalline Li15Tl2Pd2 at its relaxed geometry, computed with PBE.

Formation energy in eV per atom: -0.0878
Space group: R-3m (166)

POSCAR file:
```
Li15Tl2Pd2
1.0
3.642 2.103 7.159
-3.642 2.103 7.159
0.000 -4.206 7.159
Li Tl Pd
15 2 2
direct
0.000 0.000 0.500
0.000 0.329 0.671
0.000 0.500 0.000
0.000 0.671 0.329
0.182 0.568 0.568
0.329 0.000 0.671
0.329 0.671 0.000
0.432 0.432 0.818
0.432 0.818 0.432
0.500 0.000 0.000
0.568 0.182 0.568
0.568 0.568 0.182
0.671 0.000 0.329
0.671 0.329 0.000
0.818 0.432 0.432
0.084 0.084 0.084
0.916 0.916 0.916
0.277 0.277 0.277
0.723 0.723 0.723
```

Entry 2:
Crystalline AlPtW2 at its relaxed geometry, computed with PBE.

Formation energy in eV per atom: -0.0759
Space group: R3m (160)

POSCAR file:
```
AlPtW2
1.0
1.408 0.813 9.138
-1.408 0.813 9.138
0.000 -1.625 9.138
Al Pt W
1 1 2
direct
0.000 0.000 0.000
0.256 0.256 0.256
0.505 0.505 0.505
0.750 0.750 0.750
```

Entry 3:
Crystalline Th4AgOs at its relaxed geometry, computed with PBE.

Formation energy in eV per atom: -0.2051
Space group: P4/mcc (124)

POSCAR file:
```
Th4AgOs
1.0
7.375 0.000 0.000
0.000 7.375 0.000
0.000 0.000 6.047
Th Ag Os
8 2 2
direct
0.148 0.322 0.000
0.148 0.678 0.500
0.322 0.148 0.500
0.322 0.852 0.000
0.678 0.148 0.000
0.678 0.852 0.500
0.852 0.322 0.500
0.852 0.678 0.000
0.500 0.500 0.250
0.500 0.500 0.750
0.000 0.000 0.250
0.000 0.000 0.750
```

Entry 4:
Crystalline SrDyCd6 at its relaxed geometry, computed with PBE.

Formation energy in eV per atom: -0.2382
Space group: Pmm2 (25)

POSCAR file:
```
SrDyCd6
1.0
5.132 0.000 0.000
0.000 6.956 0.000
0.000 0.000 5.696
Sr Dy Cd
1 1 6
direct
0.000 0.000 0.000
0.500 0.500 0.314
0.000 0.263 0.490
0.000 0.500 0.971
0.000 0.737 0.490
0.500 0.000 0.412
0.500 0.275 0.828
0.500 0.725 0.828
```